Record 1
Computed, not measured: a relaxed structure of ScMo2Pt2 at the PBE level of DFT.

Geometry as POSCAR:
```
ScMo2Pt2
1.0
7.899 0.000 0.000
0.000 7.899 0.000
0.000 0.000 2.761
Pt Sc Mo
4 2 4
Direct
0.323 0.177 0.500 Pt
0.177 0.677 0.500 Pt
0.677 0.823 0.500 Pt
0.823 0.323 0.500 Pt
0.000 0.000 0.000 Sc
0.500 0.500 0.000 Sc
0.384 0.884 0.000 Mo
0.116 0.384 0.000 Mo
0.884 0.616 0.000 Mo
0.616 0.116 0.000 Mo
```

Energy of formation, eV/atom: -0.2551
Magnetization, μB per atom: 0.00
V, Å³ per cell: 172.30


Record 2
Computed, not measured: a relaxed structure of ScMoPt2 at the PBE level of DFT.

Geometry as POSCAR:
```
ScMoPt2
1.0
-7.428 2.650 -5.072
-8.568 0.299 -3.798
-8.597 2.858 -2.419
Pt Mo Sc
2 1 1
Direct
0.249 0.249 0.249 Pt
0.003 0.003 0.003 Pt
0.747 0.747 0.747 Mo
0.502 0.502 0.502 Sc
```

Energy of formation, eV/atom: -0.1935
Magnetization, μB per atom: 0.00
V, Å³ per cell: 67.49


Record 3
Computed, not measured: a relaxed structure of ScMoPt2 at the PBE level of DFT.

Geometry as POSCAR:
```
ScMoPt2
1.0
-4.719 1.161 0.654
-4.598 -1.668 0.359
-0.296 -0.533 5.003
Sc Mo Pt
1 1 2
Direct
0.750 0.750 0.750 Sc
0.250 0.250 0.250 Mo
0.503 0.503 0.490 Pt
0.997 0.997 0.010 Pt
```

Energy of formation, eV/atom: -0.3466
Magnetization, μB per atom: 0.00
V, Å³ per cell: 66.34


Record 4
Computed, not measured: a relaxed structure of ScMoPt2 at the PBE level of DFT.

Geometry as POSCAR:
```
ScMoPt2
1.0
-1.024 -4.430 0.951
2.683 -0.443 0.826
-1.230 1.282 4.648
Pt Mo Sc
2 1 1
Direct
0.000 0.125 0.942 Pt
0.500 0.126 0.308 Pt
0.500 0.623 0.818 Mo
0.000 0.627 0.432 Sc
```

Energy of formation, eV/atom: -0.6508
Magnetization, μB per atom: 0.14
V, Å³ per cell: 65.70


Record 5
Computed, not measured: a relaxed structure of ScMo4Pt at the PBE level of DFT.

Geometry as POSCAR:
```
ScMo4Pt
1.0
3.928 -2.648 2.287
1.161 0.865 5.057
-1.058 -3.679 3.608
Mo Pt Sc
4 1 1
Direct
0.373 0.373 0.880 Mo
0.880 0.373 0.373 Mo
0.373 0.373 0.373 Mo
0.373 0.880 0.373 Mo
0.750 0.750 0.750 Pt
0.000 0.000 0.000 Sc
```

Energy of formation, eV/atom: 0.0671
Magnetization, μB per atom: 0.00
V, Å³ per cell: 102.91


Record 6
Computed, not measured: a relaxed structure of ScMoPt2 at the PBE level of DFT.

Geometry as POSCAR:
```
ScMoPt2
1.0
-6.850 -1.363 -6.321
-6.932 -3.922 -5.030
-8.389 -1.712 -3.927
Pt Sc Mo
2 1 1
Direct
0.499 0.499 0.499 Pt
0.001 0.001 0.001 Pt
0.250 0.250 0.250 Sc
0.750 0.750 0.750 Mo
```

Energy of formation, eV/atom: -0.2985
Magnetization, μB per atom: 0.00
V, Å³ per cell: 66.04